SmZn2GaPd (PBE-GGA, optimized geometry); ΔH_f (0 K) = -527.3 meV per atom; VASP energy = -18.12 eV per cell; magnetization = 0.0 μB per cell; theoretical density = 8.08 g cm⁻³
1.0
-1.9689 2.1540 5.5437
1.9689 -2.1540 5.5437
1.9689 2.1540 -5.5437
Sm Zn Ga Pd
1 2 1 1
Direct
0.0000 0.0000 0.0000
0.6136 0.6136 0.0000
0.7583 0.2583 0.5000
0.3889 0.3889 0.0000
0.2446 0.7446 0.5000